(1)
The following is a PBE calculation of a relaxed structure of LiHfScNi, from OQMD.

```
LiHfScNi
1.0
0.000 3.190 3.190
3.190 0.000 3.190
3.190 3.190 0.000
Hf Li Sc Ni
1 1 1 1
Direct
0.250 0.250 0.250
0.750 0.750 0.750
0.000 0.000 0.000
0.500 0.500 0.500
```

Values from the calculation:
- Final energy: -5.8261 eV per atom
- Spin magnetization: 0.00 μB per cell
- Relative energy among the computed polymorphs: 207 meV/atom
- V: 16.22 A^3/atom

(2)
The following is a PBE calculation of a relaxed structure of TaAlFe2, from OQMD.

```
TaAlFe2
1.0
2.051 -3.552 0.000
2.051 3.552 0.000
0.000 0.000 7.542
Fe Ta Al
4 2 2
Direct
0.667 0.333 0.403
0.333 0.667 0.903
0.333 0.667 0.597
0.667 0.333 0.097
0.333 0.667 0.250
0.667 0.333 0.750
0.000 0.000 0.000
0.000 0.000 0.500
```

Values from the calculation:
- Final energy: -8.2300 eV per atom
- Spin magnetization: 3.83 μB per cell
- V: 13.74 A^3/atom

(3)
The following is a PBE calculation of a relaxed structure of SrAgHg, from OQMD.

```
SrAgHg
1.0
-3.091 -1.635 3.936
-0.509 2.935 4.340
-4.540 2.477 0.985
Sr Ag Hg
1 1 1
Direct
0.000 0.000 0.000
0.250 0.250 0.250
0.750 0.750 0.750
```

Values from the calculation:
- Final energy: -1.6830 eV per atom
- V: 34.39 A^3/atom

(4)
The following is a PBE calculation of a relaxed structure of LaNdBrN, from OQMD.

```
LaNdBrN
1.0
-2.463 -2.284 -1.661
0.986 -0.584 3.568
-11.128 8.726 4.502
Br N Nd La
2 2 2 2
Direct
0.667 0.333 0.754
0.333 0.667 0.254
0.000 0.000 0.997
0.000 0.000 0.497
0.333 0.667 0.909
0.667 0.333 0.409
0.333 0.667 0.590
0.667 0.333 0.090
```

Values from the calculation:
- Final energy: -6.3716 eV per atom
- Spin magnetization: 0.00 μB per cell
- Relative energy among the computed polymorphs: 0 meV/atom
- V: 22.56 A^3/atom

(5)
The following is a PBE calculation of a relaxed structure of Sm4PtI5, from OQMD.

```
Sm4PtI5
1.0
9.857 -2.111 0.000
9.857 2.111 0.000
-2.004 0.000 8.861
Sm Pt I
4 1 5
Direct
0.647 0.647 0.076
0.001 0.001 0.208
0.999 0.999 0.792
0.353 0.353 0.924
0.500 0.500 0.000
0.176 0.176 0.829
0.832 0.832 0.657
0.824 0.824 0.171
0.168 0.168 0.343
0.500 0.500 0.500
```

Values from the calculation:
- Final energy: -4.5155 eV per atom
- Spin magnetization: 0.67 μB per cell
- V: 36.87 A^3/atom

(6)
The following is a PBE calculation of a relaxed structure of Cu15Sb, from OQMD.

```
Cu15Sb
1.0
4.418 0.000 0.000
0.000 34.117 0.000
-1.437 0.000 4.176
Cu Sb
30 2
Direct
0.500 0.780 0.750
0.500 0.593 0.250
0.000 0.519 0.750
0.500 0.333 0.750
0.000 0.257 0.250
0.000 0.743 0.750
0.000 0.630 0.250
0.500 0.667 0.250
0.000 0.295 0.750
0.000 0.444 0.750
0.500 0.631 0.750
0.000 0.370 0.750
0.500 0.705 0.750
0.000 0.556 0.250
0.500 0.407 0.750
0.500 0.369 0.250
0.000 0.705 0.250
0.000 0.667 0.750
0.500 0.482 0.750
0.500 0.257 0.750
0.500 0.743 0.250
0.500 0.295 0.250
0.500 0.220 0.250
0.500 0.556 0.750
0.000 0.593 0.750
0.000 0.481 0.250
0.500 0.444 0.250
0.500 0.518 0.250
0.000 0.407 0.250
0.000 0.333 0.250
0.000 0.210 0.750
0.000 0.790 0.250
```

Values from the calculation:
- Final energy: -3.7042 eV per atom
- Relative energy among the computed polymorphs: 2 meV/atom
- V: 19.67 A^3/atom

(7)
The following is a PBE calculation of a relaxed structure of InCuSiSeS2, from OQMD.

```
InCuSiSeS2
1.0
1.721 -6.902 0.000
1.721 6.902 0.000
0.000 0.000 9.965
Si Cu S In Se
2 2 4 2 2
Direct
0.500 0.500 0.500
0.500 0.500 0.000
0.861 0.139 0.250
0.139 0.861 0.750
0.885 0.115 0.472
0.115 0.885 0.528
0.115 0.885 0.972
0.885 0.115 0.028
0.797 0.203 0.750
0.203 0.797 0.250
0.461 0.539 0.750
0.539 0.461 0.250
```

Values from the calculation:
- Final energy: -4.1833 eV per atom
- V: 19.73 A^3/atom

(8)
The following is a PBE calculation of a relaxed structure of Ba8Pt5, from OQMD.

```
Ba8Pt5
1.0
8.829 0.000 0.000
0.000 4.512 0.000
-4.356 0.000 11.636
Pt Ba
5 8
Direct
0.678 0.500 0.355
0.196 0.000 0.595
0.387 0.000 0.970
0.815 0.500 0.785
0.106 0.500 0.210
0.955 0.000 0.328
0.181 0.500 0.783
0.556 0.000 0.781
0.808 0.000 0.576
0.411 0.000 0.236
0.017 0.000 0.990
0.646 0.500 0.076
0.347 0.500 0.486
```

Values from the calculation:
- Final energy: -4.1431 eV per atom
- Spin magnetization: 0.01 μB per cell
- V: 35.66 A^3/atom

Please write out number 1 again, unchanged.
The following is a PBE calculation of a relaxed structure of LiHfScNi, from OQMD.

```
LiHfScNi
1.0
0.000 3.190 3.190
3.190 0.000 3.190
3.190 3.190 0.000
Hf Li Sc Ni
1 1 1 1
Direct
0.250 0.250 0.250
0.750 0.750 0.750
0.000 0.000 0.000
0.500 0.500 0.500
```

Values from the calculation:
- Final energy: -5.8261 eV per atom
- Spin magnetization: 0.00 μB per cell
- Relative energy among the computed polymorphs: 207 meV/atom
- V: 16.22 A^3/atom

Look up the V of the third one.
34.39 A^3/atom

Number 3 is which compound?
SrAgHg

The lowest final energy belongs to which entry?
TaAlFe2